one.
Material: CaReTe
Method: DFT, PBE-GGA
State: relaxed

SG: P-6m2 (187)
Size of the total moment in μB per cell: 0.00

Geometry as CIF:
```
data_CaReTe
_cell_length_a 4.562
_cell_length_b 4.562
_cell_length_c 3.855
_cell_angle_alpha 90.00
_cell_angle_beta 90.00
_cell_angle_gamma 120.00
_space_group_name_H-M_alt 'P 1'
_space_group_IT_number 1
_space_group_name_Hall 'P 1'
loop_
_atom_site_label
_atom_site_fract_x
_atom_site_fract_y
_atom_site_fract_z
_atom_site_occupancy
Ca1 0.000 0.000 0.000 1
Re1 0.333 0.667 0.500 1
Te1 0.667 0.333 0.500 1
```

***

two.
Material: CaReTe
Method: DFT, PBE-GGA
State: relaxed

SG: F-43m (216)
Size of the total moment in μB per cell: 3.16

Geometry as CIF:
```
data_CaReTe
_cell_length_a 4.952
_cell_length_b 4.952
_cell_length_c 4.952
_cell_angle_alpha 60.00
_cell_angle_beta 60.00
_cell_angle_gamma 60.00
_space_group_name_H-M_alt 'P 1'
_space_group_IT_number 1
_space_group_name_Hall 'P 1'
loop_
_atom_site_label
_atom_site_fract_x
_atom_site_fract_y
_atom_site_fract_z
_atom_site_occupancy
Ca1 0.000 0.000 0.000 1
Re1 0.250 0.250 0.250 1
Te1 0.750 0.750 0.750 1
```

***

Least stable: two

***

one.
Material: CaTh2Re
Method: DFT, PBE-GGA
State: relaxed

SG: R-3m (166)
Size of the total moment in μB per cell: 0.00

Geometry as CIF:
```
data_CaTh2Re
_cell_length_a 10.952
_cell_length_b 10.952
_cell_length_c 10.952
_cell_angle_alpha 21.70
_cell_angle_beta 21.70
_cell_angle_gamma 21.70
_space_group_name_H-M_alt 'P 1'
_space_group_IT_number 1
_space_group_name_Hall 'P 1'
loop_
_atom_site_label
_atom_site_fract_x
_atom_site_fract_y
_atom_site_fract_z
_atom_site_occupancy
Ca1 0.000 0.000 0.000 1
Th1 0.120 0.120 0.120 1
Th2 0.880 0.880 0.880 1
Re1 0.500 0.500 0.500 1
```

***

two.
Material: CaTh2Re
Method: DFT, PBE-GGA
State: relaxed

SG: P4/mmm (123)
Size of the total moment in μB per cell: 0.00

Geometry as CIF:
```
data_CaTh2Re
_cell_length_a 3.506
_cell_length_b 3.506
_cell_length_c 9.977
_cell_angle_alpha 90.00
_cell_angle_beta 90.00
_cell_angle_gamma 90.00
_space_group_name_H-M_alt 'P 1'
_space_group_IT_number 1
_space_group_name_Hall 'P 1'
loop_
_atom_site_label
_atom_site_fract_x
_atom_site_fract_y
_atom_site_fract_z
_atom_site_occupancy
Ca1 0.000 0.000 0.000 1
Th1 0.500 0.500 0.322 1
Th2 0.500 0.500 0.678 1
Re1 0.000 0.000 0.500 1
```

***

Least stable: one

***

one.
Material: CaTi2Re
Method: DFT, PBE-GGA
State: relaxed

SG: I4_1/amd (141)
Size of the total moment in μB per cell: 0.00

Geometry as CIF:
```
data_CaTi2Re
_cell_length_a 9.284
_cell_length_b 9.284
_cell_length_c 9.284
_cell_angle_alpha 149.40
_cell_angle_beta 149.40
_cell_angle_gamma 43.83
_space_group_name_H-M_alt 'P 1'
_space_group_IT_number 1
_space_group_name_Hall 'P 1'
loop_
_atom_site_label
_atom_site_fract_x
_atom_site_fract_y
_atom_site_fract_z
_atom_site_occupancy
Ca1 0.375 0.625 0.750 1
Ca2 0.625 0.375 0.250 1
Ti1 0.000 0.000 0.000 1
Ti2 0.000 0.000 0.500 1
Ti3 0.000 0.500 0.000 1
Ti4 0.500 0.000 0.500 1
Re1 0.125 0.875 0.250 1
Re2 0.875 0.125 0.750 1
```

***

two.
Material: CaTi2Re
Method: DFT, PBE-GGA
State: relaxed

SG: Fm-3m (225)
Size of the total moment in μB per cell: 0.00

Geometry as CIF:
```
data_CaTi2Re
_cell_length_a 4.682
_cell_length_b 4.682
_cell_length_c 4.682
_cell_angle_alpha 60.00
_cell_angle_beta 60.00
_cell_angle_gamma 60.00
_space_group_name_H-M_alt 'P 1'
_space_group_IT_number 1
_space_group_name_Hall 'P 1'
loop_
_atom_site_label
_atom_site_fract_x
_atom_site_fract_y
_atom_site_fract_z
_atom_site_occupancy
Ca1 0.000 0.000 0.000 1
Ti1 0.250 0.250 0.250 1
Ti2 0.750 0.750 0.750 1
Re1 0.500 0.500 0.500 1
```

***

Least stable: one

***

one.
Material: CaTiReW2
Method: DFT, PBE-GGA
State: relaxed

SG: P4/mmm (123)
Size of the total moment in μB per cell: 0.00

Geometry as CIF:
```
data_CaTiReW2
_cell_length_a 4.688
_cell_length_b 4.688
_cell_length_c 4.732
_cell_angle_alpha 90.00
_cell_angle_beta 90.00
_cell_angle_gamma 90.00
_space_group_name_H-M_alt 'P 1'
_space_group_IT_number 1
_space_group_name_Hall 'P 1'
loop_
_atom_site_label
_atom_site_fract_x
_atom_site_fract_y
_atom_site_fract_z
_atom_site_occupancy
Ca1 0.000 0.000 0.000 1
Ti1 0.500 0.500 0.500 1
Re1 0.500 0.500 0.000 1
W1 0.000 0.500 0.500 1
W2 0.500 0.000 0.500 1
```

***

two.
Material: CaTiReW2
Method: DFT, PBE-GGA
State: relaxed

SG: P4/mmm (123)
Size of the total moment in μB per cell: 0.00

Geometry as CIF:
```
data_CaTiReW2
_cell_length_a 4.582
_cell_length_b 4.582
_cell_length_c 4.227
_cell_angle_alpha 90.00
_cell_angle_beta 90.00
_cell_angle_gamma 90.00
_space_group_name_H-M_alt 'P 1'
_space_group_IT_number 1
_space_group_name_Hall 'P 1'
loop_
_atom_site_label
_atom_site_fract_x
_atom_site_fract_y
_atom_site_fract_z
_atom_site_occupancy
Ca1 0.000 0.000 0.000 1
Ti1 0.000 0.000 0.500 1
Re1 0.500 0.500 0.500 1
W1 0.000 0.500 0.000 1
W2 0.500 0.000 0.000 1
```

***

Least stable: two